The following is a DFT calculation (PBE) of a geometry-optimized RbBeSe2 structure.

Geometry as POSCAR:
```
RbBeSe2
1.0
2.078 0.000 9.068
-1.039 1.800 9.068
-1.039 -1.800 9.068
Se Rb Be
2 1 1
Cartesian
0.000 0.000 3.183
0.000 0.000 24.022
0.000 0.000 0.000
0.000 0.000 13.602
```

The value obtained for the formation energy (no corrections) is -0.16 eV/atom. The calculation puts the magnetic moment at 0.00 μB/f.u. Its space group is R-3m (166). As for the total energy: -3.08 eV per atom. The calculation puts the volume at 25.4 A^3/atom.

***

The following is a DFT calculation (PBE) of a geometry-optimized Nd3InRh8 structure.

Geometry as POSCAR:
```
Nd3InRh8
1.0
-3.120 -0.848 -4.287
-4.052 -3.511 0.282
-7.800 5.003 1.325
Rh Nd In
8 3 1
Cartesian
-6.639 -2.710 -1.357
-6.173 -1.378 -3.641
-10.048 1.083 -2.989
-4.613 -0.954 -1.498
-12.239 1.687 -1.514
-10.512 -0.242 -0.715
-4.749 1.361 -0.176
-12.065 -0.664 -2.849
-7.432 0.257 -1.367
-9.505 2.731 -0.347
-7.237 -4.283 -3.973
-9.224 -1.912 -2.996
```

The calculation puts the magnetic moment at 0.00 μB/f.u. Its space group is R3m (160). The calculated formation energy is -630.5 kJ/mol of formula units. As for the total energy: -6.87 eV per atom. The calculation puts the volume at 18.4 A^3/atom.

***

The following is a DFT calculation (PBE) of a geometry-optimized SrBeTc2 structure.

Geometry as POSCAR:
```
SrBeTc2
1.0
-0.006 -0.443 3.173
1.767 -2.647 -0.367
5.868 3.841 0.547
Tc Be Sr
2 1 1
Cartesian
0.548 0.358 0.051
2.387 1.562 0.222
2.348 -0.585 1.540
5.282 1.336 1.813
```

The calculation puts the magnetic moment at 0.00 μB/f.u. Its space group is P4/mmm (123). The calculated formation energy is 177.4 kJ/mol of formula units. As for the total energy: -6.08 eV per atom. The calculation puts the volume at 18.1 A^3/atom.

***

The following is a DFT calculation (PBE) of a geometry-optimized TcOsPb2 structure.

Geometry as POSCAR:
```
TcOsPb2
1.0
7.635 0.000 0.000
0.000 7.635 0.000
3.818 3.818 3.023
Os Tc Pb
2 2 4
Cartesian
7.635 3.818 1.512
0.000 0.000 0.000
3.818 7.635 1.512
3.818 3.818 0.000
5.829 1.909 0.756
5.726 5.624 2.267
1.806 5.726 0.756
9.544 9.647 2.267
```

The calculation puts the magnetic moment at 2.97 μB/f.u. Its space group is I-42d (122). The calculated formation energy is 519.8 kJ/mol of formula units. As for the total energy: -5.91 eV per atom. The calculation puts the volume at 22.0 A^3/atom.